## Th2AlCo4P3 (GGA-PBE)

Data for a relaxed Th2AlCo4P3 crystal.

As for the magnetic moment: 0.13 μB/atom. For the energy relative to the elements, the calculation gives -9.34 eV per formula unit. As for the space group: P-4m2.

a = 3.9758 Å, b = 3.9758 Å, c = 9.5577 Å
α = 90.00°, β = 90.00°, γ = 90.00°
Last column: magnetic moment on the atom in μB.
Atoms (fractional coordinates):
Th 0.5000 0.0000 0.2433  -0.02
Th 0.0000 0.5000 0.7567  -0.02
Al 0.5000 0.5000 0.5000  0.01
Co 0.5000 0.5000 0.0000  0.66
Co 0.0000 0.0000 0.0000  0.67
Co 0.5000 0.0000 0.6324  0.00
Co 0.0000 0.5000 0.3676  0.00
P 0.0000 0.0000 0.5000  0.00
P 0.5000 0.0000 0.8727  0.02
P 0.0000 0.5000 0.1273  0.02

## AlTlCo2P (GGA-PBE)

Data for a relaxed AlTlCo2P crystal.

As for the magnetic moment: 0.67 μB/atom. For the energy relative to the elements, the calculation gives 8.38 eV per formula unit. As for the space group: P4/mmm.

a = 4.8280 Å, b = 4.9584 Å, c = 4.8280 Å
α = 90.00°, β = 90.00°, γ = 90.00°
Last column: magnetic moment on the atom in μB.
Atoms (fractional coordinates):
P 0.5000 0.5000 0.5000  -0.01
Tl 0.0000 0.0000 0.0000  -0.08
Co 0.0000 0.0000 0.5000  1.71
Co 0.5000 0.0000 0.0000  1.74
Al 0.0000 0.5000 0.0000  0.01

## TmAlCo5P2 (GGA-PBE)

Data for a relaxed TmAlCo5P2 crystal.

As for the magnetic moment: 0.00 μB/atom. For the energy relative to the elements, the calculation gives -3.27 eV per formula unit. As for the space group: P4/mmm.

a = 3.7920 Å, b = 3.7920 Å, c = 9.0982 Å
α = 90.00°, β = 90.00°, γ = 90.00°
Atoms (fractional coordinates):
Tm 0.0000 0.0000 0.5000
Al 0.0000 0.0000 0.0000
Co 0.0000 0.5000 0.1599
Co 0.5000 0.0000 0.1599
Co 0.0000 0.5000 0.8401
Co 0.5000 0.0000 0.8401
Co 0.5000 0.5000 0.5000
P 0.5000 0.5000 0.2690
P 0.5000 0.5000 0.7310

## UAlCo5P2 (GGA-PBE)

Data for a relaxed UAlCo5P2 crystal.

As for the magnetic moment: 0.20 μB/atom. For the energy relative to the elements, the calculation gives -2.77 eV per formula unit. As for the space group: P4/mmm.

a = 3.7120 Å, b = 3.7120 Å, c = 9.4332 Å
α = 90.00°, β = 90.00°, γ = 90.00°
Last column: magnetic moment on the atom in μB.
Atoms (fractional coordinates):
U 0.0000 0.0000 0.5000  -1.97
Al 0.0000 0.0000 0.0000  0.00
Co 0.0000 0.5000 0.1610  0.03
Co 0.5000 0.0000 0.1610  0.03
Co 0.0000 0.5000 0.8390  0.03
Co 0.5000 0.0000 0.8390  0.03
Co 0.5000 0.5000 0.5000  0.20
P 0.5000 0.5000 0.2734  0.01
P 0.5000 0.5000 0.7266  0.01

## Pa3Al7Co2 (GGA-PBE)

Data for a relaxed Pa3Al7Co2 crystal.

As for the magnetic moment: 0.05 μB/atom. For the energy relative to the elements, the calculation gives -4.55 eV per formula unit. As for the space group: R-3m.

a = 5.3364 Å, b = 5.3364 Å, c = 9.0901 Å
α = 72.93°, β = 72.93°, γ = 60.00°
Last column: magnetic moment on the atom in μB.
Atoms (fractional coordinates):
Pa 0.0000 0.0000 0.0000  0.03
Pa 0.8501 0.8501 0.4497  0.22
Pa 0.1499 0.1499 0.5503  0.22
Al 0.5000 0.5000 0.5000  0.00
Al 0.9301 0.4224 0.2251  0.00
Al 0.4224 0.9301 0.2251  0.00
Al 0.4224 0.4224 0.2251  0.00
Al 0.0699 0.5776 0.7749  0.00
Al 0.5776 0.5776 0.7749  0.00
Al 0.5776 0.0699 0.7749  0.00
Co 0.6640 0.6640 0.0079  0.02
Co 0.3360 0.3360 0.9921  0.02

## Pa3Al2Co3 (GGA-PBE)

Data for a relaxed Pa3Al2Co3 crystal.

As for the magnetic moment: 0.00 μB/atom. For the energy relative to the elements, the calculation gives -3.49 eV per formula unit. As for the space group: Cmcm.

a = 4.0735 Å, b = 5.9594 Å, c = 12.3667 Å
α = 90.00°, β = 90.00°, γ = 109.98°
Atoms (fractional coordinates):
Pa 0.9399 0.8799 0.3881
Pa 0.0601 0.1201 0.8881
Pa 0.9399 0.8799 0.1119
Pa 0.0601 0.1201 0.6119
Pa 0.6454 0.2908 0.2500
Pa 0.3546 0.7092 0.7500
Al 0.7698 0.5395 0.9219
Al 0.2302 0.4605 0.4219
Al 0.7698 0.5395 0.5781
Al 0.2302 0.4605 0.0781
Co 0.6046 0.2093 0.4447
Co 0.3954 0.7907 0.9447
Co 0.6046 0.2093 0.0553
Co 0.3954 0.7907 0.5553
Co 0.3460 0.6920 0.2500
Co 0.6540 0.3080 0.7500

## Pa2Al2Co3 (GGA-PBE)

Data for a relaxed Pa2Al2Co3 crystal.

As for the magnetic moment: 0.00 μB/atom. For the energy relative to the elements, the calculation gives -2.37 eV per formula unit. As for the space group: C2/m.

a = 3.9148 Å, b = 6.3251 Å, c = 11.0014 Å
α = 104.96°, β = 79.75°, γ = 71.97°
Atoms (fractional coordinates):
Pa 0.1932 0.2293 0.3844
Pa 0.8068 0.7707 0.6156
Pa 0.4327 0.2103 0.9244
Pa 0.5673 0.7897 0.0756
Al 0.0634 0.1896 0.6835
Al 0.9366 0.8104 0.3165
Al 0.3868 0.4927 0.7338
Al 0.6132 0.5073 0.2662
Co 0.1383 0.9141 0.8094
Co 0.8617 0.0859 0.1906
Co 0.2529 0.3566 0.1376
Co 0.7471 0.6434 0.8624
Co 0.3500 0.8365 0.4635
Co 0.6500 0.1635 0.5365

## PaAlCo4 (GGA-PBE)

Data for a relaxed PaAlCo4 crystal.

As for the magnetic moment: 0.27 μB/atom. For the energy relative to the elements, the calculation gives -1.76 eV per formula unit. As for the space group: F-43m.

a = 4.8697 Å, b = 4.8697 Å, c = 4.8697 Å
α = 60.00°, β = 60.00°, γ = 60.00°
Last column: magnetic moment on the atom in μB.
Atoms (fractional coordinates):
Pa 0.2500 0.2500 0.2500  -0.27
Co 0.6268 0.6268 0.1195  0.49
Co 0.6268 0.1195 0.6268  0.49
Co 0.6268 0.6268 0.6268  0.49
Co 0.1195 0.6268 0.6268  0.49
Al 0.0000 0.0000 0.0000  0.00

## PaAl5Co2 (GGA-PBE)

Data for a relaxed PaAl5Co2 crystal.

As for the magnetic moment: 0.00 μB/atom. For the energy relative to the elements, the calculation gives -3.76 eV per formula unit. As for the space group: Immm.

a = 3.8349 Å, b = 6.1138 Å, c = 6.1138 Å
α = 74.40°, β = 71.72°, γ = 71.72°
Atoms (fractional coordinates):
Pa 0.0000 0.0000 0.0000
Al 0.0000 0.5000 0.5000
Al 0.6599 0.5238 0.1565
Al 0.3401 0.4762 0.8435
Al 0.3401 0.8435 0.4762
Al 0.6599 0.1565 0.5238
Co 0.7286 0.7714 0.7714
Co 0.2714 0.2286 0.2286

## Pa2Al5Co3 (GGA-PBE)

Data for a relaxed Pa2Al5Co3 crystal.

As for the magnetic moment: 0.00 μB/atom. For the energy relative to the elements, the calculation gives -4.71 eV per formula unit. As for the space group: Cmc2_1.

a = 4.0257 Å, b = 6.7731 Å, c = 12.2117 Å
α = 90.00°, β = 99.49°, γ = 90.00°
Atoms (fractional coordinates):
Pa 0.4702 0.7979 0.9405
Pa 0.1754 0.6955 0.3509
Pa 0.8246 0.1955 0.6491
Pa 0.5298 0.2979 0.0595
Al 0.4029 0.4037 0.8057
Al 0.2894 0.4967 0.5788
Al 0.7106 0.9967 0.4212
Al 0.1330 0.2310 0.2660
Al 0.2931 0.8805 0.5862
Al 0.9466 0.1415 0.8932
Al 0.7069 0.3805 0.4138
Al 0.8670 0.7310 0.7340
Al 0.0534 0.6415 0.1068
Al 0.5971 0.9037 0.1943
Co 0.7634 0.6862 0.5269
Co 0.6075 0.5157 0.2150
Co 0.0452 0.0160 0.0905
Co 0.2366 0.1862 0.4731
Co 0.9548 0.5160 0.9095
Co 0.3925 0.0157 0.7850

## PaAl10Co3 (GGA-PBE)

Data for a relaxed PaAl10Co3 crystal.

As for the magnetic moment: 0.09 μB/atom. For the energy relative to the elements, the calculation gives -2.64 eV per formula unit. As for the space group: Fm-3m.

a = 8.6878 Å, b = 8.6878 Å, c = 8.6878 Å
α = 60.00°, β = 60.00°, γ = 60.00°
Last column: magnetic moment on the atom in μB.
Atoms (fractional coordinates):
Pa 0.2500 0.2500 0.2500  0.78
Pa 0.7500 0.7500 0.7500  0.78
Al 0.0000 0.0000 0.3353  0.00
Al 0.0000 0.3353 0.0000  0.00
Al 0.3353 0.0000 0.0000  0.00
Al 0.6647 0.3353 0.0000  0.00
Al 0.3918 0.3918 0.3918  0.01
Al 0.1753 0.6082 0.6082  0.01
Al 0.3918 0.8247 0.3918  0.01
Al 0.6647 0.0000 0.3353  0.00
Al 0.3918 0.3918 0.8247  0.01
Al 0.8247 0.3918 0.3918  0.01
Al 0.6082 0.6082 0.1753  0.01
Al 0.0000 0.0000 0.6647  0.00
Al 0.3353 0.6647 0.0000  0.00
Al 0.0000 0.6647 0.3353  0.00
Al 0.0000 0.3353 0.6647  0.00
Al 0.6647 0.0000 0.0000  0.00
Al 0.6082 0.6082 0.6082  0.01
Al 0.0000 0.6647 0.0000  0.00
Al 0.6082 0.1753 0.6082  0.01
Al 0.3353 0.0000 0.6647  0.00
Co 0.7346 0.7346 0.2654  0.09
Co 0.7346 0.2654 0.7346  0.09
Co 0.2654 0.7346 0.7346  0.09
Co 0.2654 0.2654 0.7346  0.09
Co 0.7346 0.2654 0.2654  0.09
Co 0.2654 0.7346 0.2654  0.09

## Pa2AlCo3 (GGA-PBE)

Data for a relaxed Pa2AlCo3 crystal.

As for the magnetic moment: 0.00 μB/atom. For the energy relative to the elements, the calculation gives -2.75 eV per formula unit. As for the space group: P6_3/mmc.

a = 5.2559 Å, b = 5.2559 Å, c = 7.7377 Å
α = 90.00°, β = 90.00°, γ = 120.00°
Atoms (fractional coordinates):
Pa 0.6667 0.3333 0.4391
Pa 0.3333 0.6667 0.5609
Pa 0.3333 0.6667 0.9391
Pa 0.6667 0.3333 0.0609
Al 0.0000 0.0000 0.5000
Al 0.0000 0.0000 0.0000
Co 0.1693 0.3387 0.2500
Co 0.3387 0.1694 0.7500
Co 0.8307 0.6613 0.7500
Co 0.1693 0.8306 0.2500
Co 0.8307 0.1694 0.7500
Co 0.6613 0.8306 0.2500

## Pa3Al4Co4 (GGA-PBE)

Data for a relaxed Pa3Al4Co4 crystal.

As for the magnetic moment: 0.00 μB/atom. For the energy relative to the elements, the calculation gives -5.66 eV per formula unit. As for the space group: Immm.

a = 3.4589 Å, b = 7.6541 Å, c = 8.0912 Å
α = 118.23°, β = 102.34°, γ = 90.00°
Atoms (fractional coordinates):
Pa 0.1064 0.1064 0.2128
Pa 0.8936 0.8936 0.7872
Pa 0.0000 0.5000 0.0000
Al 0.3209 0.1340 0.6418
Al 0.6791 0.4922 0.3582
Al 0.6791 0.8660 0.3582
Al 0.3209 0.5078 0.6418
Co 0.2524 0.7524 0.5049
Co 0.7476 0.2476 0.4951
Co 0.5000 0.7454 0.0000
Co 0.5000 0.2546 0.0000

## PaAl4Co (GGA-PBE)

Data for a relaxed PaAl4Co crystal.

As for the magnetic moment: 0.00 μB/atom. For the energy above the lowest structure with this stoichiometry, the calculation gives 0.0 meV per atom. For the energy relative to the elements, the calculation gives -2.37 eV per formula unit. As for the space group: Pmma.

a = 4.0393 Å, b = 6.6868 Å, c = 7.5059 Å
α = 90.00°, β = 90.00°, γ = 90.00°
Atoms (fractional coordinates):
Pa 0.0000 0.6136 0.7500
Pa 0.0000 0.3864 0.2500
Al 0.0000 0.0000 0.5000
Al 0.0000 0.0000 0.0000
Al 0.5000 0.9545 0.7500
Al 0.5000 0.0455 0.2500
Al 0.5000 0.6891 0.0665
Al 0.5000 0.3109 0.9335
Al 0.5000 0.6891 0.4335
Al 0.5000 0.3109 0.5665
Co 0.0000 0.2116 0.7500
Co 0.0000 0.7884 0.2500

## Pa2AlCo9 (GGA-PBE)

Data for a relaxed Pa2AlCo9 crystal.

As for the magnetic moment: 0.57 μB/atom. For the energy relative to the elements, the calculation gives -1.87 eV per formula unit. As for the space group: R-3m.

a = 4.7726 Å, b = 4.7726 Å, c = 8.6616 Å
α = 74.01°, β = 74.01°, γ = 60.00°
Last column: magnetic moment on the atom in μB.
Atoms (fractional coordinates):
Pa 0.8653 0.8653 0.4042  -0.46
Pa 0.1347 0.1347 0.5958  -0.46
Al 0.0000 0.0000 0.0000  -0.01
Co 0.6669 0.6669 0.9992  1.51
Co 0.3331 0.3331 0.0008  1.51
Co 0.5000 0.5000 0.5000  0.38
Co 0.4191 0.4191 0.2430  0.76
Co 0.9187 0.4191 0.2430  0.76
Co 0.4191 0.9187 0.2430  0.76
Co 0.5809 0.5809 0.7570  0.76
Co 0.5809 0.0813 0.7570  0.76
Co 0.0813 0.5809 0.7570  0.76

## PaAl4Co (GGA-PBE)

Data for a relaxed PaAl4Co crystal.

As for the magnetic moment: 0.00 μB/atom. For the energy above the lowest structure with this stoichiometry, the calculation gives 170.9 meV per atom. For the energy relative to the elements, the calculation gives -1.34 eV per formula unit. As for the space group: C2/m.

a = 4.8002 Å, b = 6.2571 Å, c = 8.1496 Å
α = 112.57°, β = 107.33°, γ = 90.00°
Atoms (fractional coordinates):
Pa 0.2161 0.2106 0.4212
Pa 0.7839 0.7894 0.5788
Al 0.8603 0.3517 0.7034
Al 0.6102 0.3368 0.2099
Al 0.0000 0.1925 0.0000
Al 0.3898 0.1269 0.7901
Al 0.1397 0.6483 0.2966
Al 0.3898 0.6632 0.7901
Al 0.0000 0.8075 0.0000
Al 0.6102 0.8731 0.2099
Co 0.7298 0.4954 0.9908
Co 0.2702 0.5046 0.0092

## PaAlCoPd (GGA-PBE)

Data for a relaxed PaAlCoPd crystal.

As for the magnetic moment: 0.00 μB/atom. For the energy relative to the elements, the calculation gives -1.58 eV per formula unit. As for the space group: F-43m.

a = 4.6229 Å, b = 4.6229 Å, c = 4.6229 Å
α = 60.00°, β = 60.00°, γ = 60.00°
Atoms (fractional coordinates):
Pa 0.5000 0.5000 0.5000
Co 0.7500 0.7500 0.7500
Al 0.0000 0.0000 0.0000
Pd 0.2500 0.2500 0.2500

## PaAlCoRu (GGA-PBE)

Data for a relaxed PaAlCoRu crystal.

As for the magnetic moment: 0.19 μB/atom. For the energy relative to the elements, the calculation gives -1.60 eV per formula unit. As for the space group: F-43m.

a = 4.5534 Å, b = 4.5534 Å, c = 4.5534 Å
α = 60.00°, β = 60.00°, γ = 60.00°
Last column: magnetic moment on the atom in μB.
Atoms (fractional coordinates):
Ru 0.0000 0.0000 0.0000  0.15
Pa 0.2500 0.2500 0.2500  0.11
Co 0.5000 0.5000 0.5000  0.50
Al 0.7500 0.7500 0.7500  0.00

## PaAlCo5Si2 (GGA-PBE)

Data for a relaxed PaAlCo5Si2 crystal.

As for the magnetic moment: 0.00 μB/atom. For the formation energy from raw total energies, the calculation gives -233 kJ/mol of formula units. As for the space group: P4/mmm.

a = 3.8508 Å, b = 3.8508 Å, c = 8.2025 Å
α = 90.00°, β = 90.00°, γ = 90.00°
Atoms (fractional coordinates):
Pa 0.0000 0.0000 0.5000
Al 0.0000 0.0000 0.0000
Co 0.0000 0.5000 0.2678
Co 0.5000 0.0000 0.2678
Co 0.0000 0.5000 0.7322
Co 0.5000 0.0000 0.7322
Co 0.5000 0.5000 0.5000
Si 0.5000 0.5000 0.1377
Si 0.5000 0.5000 0.8623

## PaAl2Co4Si (GGA-PBE)

Data for a relaxed PaAl2Co4Si crystal.

As for the magnetic moment: 0.00 μB/atom. For the formation energy from raw total energies, the calculation gives -393 kJ/mol of formula units. As for the space group: R-3m.

a = 3.9398 Å, b = 3.9398 Å, c = 8.3249 Å
α = 76.31°, β = 76.31°, γ = 60.00°
Atoms (fractional coordinates):
Pa 0.0000 0.0000 0.0000
Al 0.7621 0.7621 0.7138
Al 0.2379 0.2379 0.2862
Co 0.4012 0.4012 0.7963
Co 0.8653 0.8653 0.4042
Co 0.1347 0.1347 0.5958
Co 0.5988 0.5988 0.2037
Si 0.5000 0.5000 0.5000

| no. | Fermi-level density of states (states/eV per cell) |
| --- | --- |
| 1 | 7.120 |
| 2 | 5.880 |
| 3 | 5.908 |
| 4 | 9.510 |
| 5 | 14.692 |
| 6 | 19.220 |
| 7 | 11.194 |
| 8 | 8.524 |
| 9 | 4.056 |
| 10 | 14.511 |
| 11 | 18.990 |
| 12 | 9.979 |
| 13 | 8.478 |
| 14 | 11.484 |
| 15 | 13.820 |
| 16 | 12.679 |
| 17 | 4.021 |
| 18 | 4.654 |
| 19 | 6.527 |
| 20 | 4.798 |